NiOsPtRh | PBE | optimized geometry

The calculation puts the volume at 13.82 A^3/atom. For the total energy, the calculation gives -30.4 eV per formula unit.

Lattice parameters (Å, degrees): 2.7120 2.7120 7.5169 90.00 90.00 90.00
With the nearest neighbours (Å) after each atom.
Space group P4mm (No. 99)
One atom of each set of equivalent atoms:
Ni 0.0000 0.0000 0.0000 (multiplicity 1)  4 Os 2.58, 4 Pt 2.67, 4 Ni 2.71
Os 0.5000 0.5000 0.7698 (multiplicity 1)  4 Ni 2.58, 4 Rh 2.66, 4 Os 2.71
Pt 0.5000 0.5000 0.2473 (multiplicity 1)  4 Ni 2.67, 4 Pt 2.71, 4 Rh 2.83
Rh 0.0000 0.0000 0.5237 (multiplicity 1)  4 Os 2.66, 4 Rh 2.71, 4 Pt 2.83